Compound: Zn2CdHg
Source: Alexandria
Functional: GGA-PBEsol
Structure: relaxed

The formation energy is 0.073 eV per atom. The value obtained for the density of states at the Fermi level is 2.30 states/eV per cell. For the uncorrected energy, the calculation gives -1.158 eV per atom. The calculation puts the energy above the lowest structure with this stoichiometry at 0.03 eV/f.u. The value obtained for the density is 9.911 Mg/m³.

The space group is Imm2 (No. 44) and the conventional cell measures 2.791, 4.673 and 11.404 Å, with angles of 90.00, 90.00 and 90.00 degrees. The distinct sites, in fractional coordinates, are Zn at (0.000, 0.000, 0.000), Zn at (0.000, 0.500, 0.305), Cd at (0.000, 0.500, 0.757) and Hg at (0.000, 0.000, 0.554).